# BaLiCoH6 | the Alexandria database | PBE-GGA | relaxed
data_BaLiCoH6
_cell_length_a 4.836
_cell_length_b 4.836
_cell_length_c 4.922
_cell_angle_alpha 90.00
_cell_angle_beta 90.00
_cell_angle_gamma 60.00
_symmetry_space_group_name_H-M 'P 1'
_symmetry_Int_Tables_number 1
_symmetry_space_group_name_Hall 'P 1'
loop_
_atom_site_label
_atom_site_type_symbol
_atom_site_fract_x
_atom_site_fract_y
_atom_site_fract_z
H1 H 0.057 0.385 0.312
H2 H 0.385 0.558 0.312
H3 H 0.558 0.385 0.688
H4 H 0.558 0.057 0.312
H5 H 0.385 0.057 0.688
H6 H 0.057 0.558 0.688
Co1 Co 0.333 0.333 0.500
Li1 Li 0.667 0.667 0.500
Ba1 Ba 0.000 0.000 0.000
# **Spin magnetization**: 0.06 μB/f.u.
# **E_tot**: -3.783 eV per atom
# **Symmetry**: P312
# **Calculated volume**: 100 Å³ per cell


# CaCoRh2 | the Alexandria database | PBE-GGA | relaxed
data_CaCoRh2
_cell_length_a 3.183
_cell_length_b 3.183
_cell_length_c 6.691
_cell_angle_alpha 90.00
_cell_angle_beta 90.00
_cell_angle_gamma 90.00
_symmetry_space_group_name_H-M 'P 1'
_symmetry_Int_Tables_number 1
_symmetry_space_group_name_Hall 'P 1'
loop_
_atom_site_label
_atom_site_type_symbol
_atom_site_fract_x
_atom_site_fract_y
_atom_site_fract_z
Rh1 Rh 0.500 0.500 0.210
Rh2 Rh 0.000 0.000 0.972
Co1 Co 0.500 0.500 0.820
Ca1 Ca 0.000 0.000 0.498
# **Spin magnetization**: 2.53 μB/f.u.
# **Symmetry**: P4mm
# **Fermi-level density of states**: 1.26 states/eV/atom
# **Energy above the most stable polymorph in this dataset**: 116 meV/atom
# **Calculated volume**: 68 Å³ per cell


# Sm2Mg2In | the Alexandria database | PBE-GGA | relaxed
data_Sm2Mg2In
_cell_length_a 5.273
_cell_length_b 5.273
_cell_length_c 8.354
_cell_angle_alpha 50.96
_cell_angle_beta 50.96
_cell_angle_gamma 59.81
_symmetry_space_group_name_H-M 'P 1'
_symmetry_Int_Tables_number 1
_symmetry_space_group_name_Hall 'P 1'
loop_
_atom_site_label
_atom_site_type_symbol
_atom_site_fract_x
_atom_site_fract_y
_atom_site_fract_z
Mg1 Mg 0.367 0.367 0.450
Mg2 Mg 0.633 0.633 0.550
Sm1 Sm 0.202 0.202 0.196
Sm2 Sm 0.798 0.798 0.804
In1 In 0.000 0.000 0.000
# **Spin magnetization**: 0.00 μB/f.u.
# **Symmetry**: C2/m
# **Fermi-level density of states**: 1.02 states/eV/atom
# **Energy above the most stable polymorph in this dataset**: 6 meV/atom
# **Calculated volume**: 138 Å³ per cell


# Mg5H2Ir | the Alexandria database | PBE-GGA | relaxed
data_Mg5H2Ir
_cell_length_a 5.318
_cell_length_b 5.306
_cell_length_c 4.890
_cell_angle_alpha 89.70
_cell_angle_beta 90.03
_cell_angle_gamma 120.08
_symmetry_space_group_name_H-M 'P 1'
_symmetry_Int_Tables_number 1
_symmetry_space_group_name_Hall 'P 1'
loop_
_atom_site_label
_atom_site_type_symbol
_atom_site_fract_x
_atom_site_fract_y
_atom_site_fract_z
Ir1 Ir 0.437 0.439 0.048
Mg1 Mg 0.105 0.762 0.043
Mg2 Mg 0.116 0.130 0.559
Mg3 Mg 0.781 0.114 0.053
Mg4 Mg 0.424 0.748 0.538
Mg5 Mg 0.747 0.439 0.547
H1 H 0.410 0.164 0.244
H2 H 0.685 0.713 0.852
# **Spin magnetization**: 0.00 μB/f.u.
# **Symmetry**: C2
# **Fermi-level density of states**: 0.23 states/eV/atom
# **Energy above the most stable polymorph in this dataset**: 43 meV/atom
# **Calculated volume**: 119 Å³ per cell


# MnCo2HRu | the Alexandria database | PBE-GGA | relaxed
data_MnCo2HRu
_cell_length_a 3.607
_cell_length_b 3.607
_cell_length_c 3.721
_cell_angle_alpha 90.00
_cell_angle_beta 90.00
_cell_angle_gamma 90.00
_symmetry_space_group_name_H-M 'P 1'
_symmetry_Int_Tables_number 1
_symmetry_space_group_name_Hall 'P 1'
loop_
_atom_site_label
_atom_site_type_symbol
_atom_site_fract_x
_atom_site_fract_y
_atom_site_fract_z
H1 H 0.000 0.000 0.000
Mn1 Mn 0.000 0.000 0.500
Ru1 Ru 0.500 0.500 0.500
Co1 Co 0.000 0.500 0.000
Co2 Co 0.500 0.000 0.000
# **Spin magnetization**: 2.36 μB/f.u.
# **Symmetry**: P4/mmm
# **Fermi-level density of states**: 1.35 states/eV/atom
# **Energy above the most stable polymorph in this dataset**: 0 meV/atom
# **Calculated volume**: 48 Å³ per cell


# YTaTc2 | the Alexandria database | PBE-GGA | relaxed
data_YTaTc2
_cell_length_a 4.114
_cell_length_b 3.052
_cell_length_c 6.171
_cell_angle_alpha 77.62
_cell_angle_beta 90.00
_cell_angle_gamma 90.00
_symmetry_space_group_name_H-M 'P 1'
_symmetry_Int_Tables_number 1
_symmetry_space_group_name_Hall 'P 1'
loop_
_atom_site_label
_atom_site_type_symbol
_atom_site_fract_x
_atom_site_fract_y
_atom_site_fract_z
Tc1 Tc 0.000 0.538 0.547
Tc2 Tc 0.000 0.962 0.953
Ta1 Ta 0.500 0.750 0.750
Y1 Y 0.500 0.250 0.250
# **Spin magnetization**: 0.00 μB/f.u.
# **E_tot**: -9.666 eV per atom
# **Symmetry**: P2/m
# **Fermi-level density of states**: 0.92 states/eV/atom
# **Calculated volume**: 76 Å³ per cell


# NdSb2Pd6 | the Alexandria database | PBE-GGA | relaxed
data_NdSb2Pd6
_cell_length_a 5.654
_cell_length_b 5.654
_cell_length_c 7.010
_cell_angle_alpha 90.00
_cell_angle_beta 90.00
_cell_angle_gamma 120.00
_symmetry_space_group_name_H-M 'P 1'
_symmetry_Int_Tables_number 1
_symmetry_space_group_name_Hall 'P 1'
loop_
_atom_site_label
_atom_site_type_symbol
_atom_site_fract_x
_atom_site_fract_y
_atom_site_fract_z
Pd1 Pd 0.500 0.500 0.196
Pd2 Pd 0.500 0.500 0.804
Pd3 Pd 0.500 0.000 0.804
Pd4 Pd 0.000 0.500 0.804
Pd5 Pd 0.000 0.500 0.196
Pd6 Pd 0.500 0.000 0.196
Sb1 Sb 0.333 0.667 0.500
Sb2 Sb 0.667 0.333 0.500
Nd1 Nd 0.000 0.000 0.000
# **ΔE_f (raw)**: -0.45 eV per atom
# **Spin magnetization**: 0.00 μB/f.u.
# **Symmetry**: P6/mmm
# **Fermi-level density of states**: 0.51 states/eV/atom
# **Energy above the most stable polymorph in this dataset**: 26 meV/atom
# **Calculated volume**: 194 Å³ per cell


# DyYHo2 | the Alexandria database | PBE-GGA | relaxed
data_DyYHo2
_cell_length_a 3.570
_cell_length_b 3.570
_cell_length_c 11.601
_cell_angle_alpha 81.15
_cell_angle_beta 81.15
_cell_angle_gamma 60.00
_symmetry_space_group_name_H-M 'P 1'
_symmetry_Int_Tables_number 1
_symmetry_space_group_name_Hall 'P 1'
loop_
_atom_site_label
_atom_site_type_symbol
_atom_site_fract_x
_atom_site_fract_y
_atom_site_fract_z
Ho1 Ho 0.250 0.250 0.250
Ho2 Ho 0.083 0.083 0.750
Dy1 Dy 0.666 0.666 0.001
Y1 Y 0.500 0.500 0.499
# **Spin magnetization**: 0.00 μB/f.u.
# **Symmetry**: R3m
# **Fermi-level density of states**: 1.56 states/eV/atom
# **Energy above the most stable polymorph in this dataset**: 5 meV/atom
# **Calculated volume**: 126 Å³ per cell


Which value of calculated volume does entry 2 give?
68 Å³ per cell